A relaxed structure of K2SnH2OF6. Source: the Alexandria database, functional PBEsol.

Results
Energy   -4.781 eV/atom
DOS at the Fermi energy   0.00 states/eV per cell

Geometry as CIF:
```
data_K2SnH2OF6
_chemical_formula_sum 'K32 Sn16 H32 O16 F96'
_cell_length_a 12.409
_cell_length_b 13.238
_cell_length_c 17.590
_cell_angle_alpha 90.00
_cell_angle_beta 90.00
_cell_angle_gamma 90.00
_symmetry_space_group_name_H-M 'F d d d'
_symmetry_Int_Tables_number 70
loop_
_symmetry_equiv_pos_as_xyz
'x,y,z'
'-x,-y,-z'
'-x+1/4,-y+1/4,z'
'x+1/4,y+1/4,-z'
'x,-y+1/4,-z+1/4'
'-x,y+1/4,z+1/4'
'-x+1/4,y,-z+1/4'
'x+1/4,-y,z+1/4'
'x,y+1/2,z+1/2'
'-x,-y+1/2,-z+1/2'
'-x+1/4,-y+3/4,z+1/2'
'x+1/4,y+3/4,-z+1/2'
'x,-y+3/4,-z+3/4'
'-x,y+3/4,z+3/4'
'-x+1/4,y+1/2,-z+3/4'
'x+1/4,-y+1/2,z+3/4'
'x+1/2,y,z+1/2'
'-x+1/2,-y,-z+1/2'
'-x+3/4,-y+1/4,z+1/2'
'x+3/4,y+1/4,-z+1/2'
'x+1/2,-y+1/4,-z+3/4'
'-x+1/2,y+1/4,z+3/4'
'-x+3/4,y,-z+3/4'
'x+3/4,-y,z+3/4'
'x+1/2,y+1/2,z'
'-x+1/2,-y+1/2,-z'
'-x+3/4,-y+3/4,z'
'x+3/4,y+3/4,-z'
'x+1/2,-y+3/4,-z+1/4'
'-x+1/2,y+3/4,z+1/4'
'-x+3/4,y+1/2,-z+1/4'
'x+3/4,-y+1/2,z+1/4'
loop_
_atom_site_label
_atom_site_type_symbol
_atom_site_fract_x
_atom_site_fract_y
_atom_site_fract_z
K1 K 0.094 0.375 0.375
K2 K 0.125 0.125 0.500
Sn1 Sn 0.125 0.346 0.625
H1 H 0.112 0.067 0.063
O1 O 0.125 0.125 0.030
F1 F 0.017 0.012 0.639
F2 F 0.017 0.293 0.131
F3 F 0.093 0.337 0.736
```